Compound: PaCdGe
Source: the Alexandria database
Functional: PBE
Structure: relaxed

Calculated values
Energy relative to the elements   0.0127 eV per atom
Crystal system   hexagonal
Energy above the lowest structure with this stoichiometry   44 meV per atom

Cell lengths 3.173, 3.173, 15.384 Å; angles 90.00, 90.00, 120.00 degrees
Fractional positions:
Pa 0.000 0.000 0.000
Pa 0.333 0.667 0.500
Cd 0.000 0.000 0.317
Cd 0.000 0.000 0.683
Ge 0.333 0.667 0.838
Ge 0.333 0.667 0.162